The following is a DFT calculation (GGA-PBE) of a relaxed structure of KAgSb2Te.

Summary:
magnetization: 0.00 μB per cell
N(E_F): 5.18 states/eV/cell
formation energy without anion corrections: 1.21 eV per atom
E above lowest polymorph: 1065 meV per atom

Cell: 5.890 5.890 5.929 Å, 90.00 90.00 90.00°
Space group P4/mmm (No. 123)
Symmetry-distinct sites (fractional):
1 K 0.000 0.000 0.000 [1 per cell]
2 Ag 0.500 0.500 0.500 [1 per cell]
3 Sb 0.000 0.500 0.000 [2 per cell]
4 Te 0.000 0.000 0.500 [1 per cell]



The following is a DFT calculation (GGA-PBE) of a relaxed structure of HfAlRePd.

Summary:
magnetization: 0.00 μB per cell
N(E_F): 7.66 states/eV/cell
formation energy from the elements: -0.46 eV/atom

Cell: 6.378 6.378 6.378 Å, 90.00 90.00 90.00°
Space group F-43m (No. 216)
Symmetry-distinct sites (fractional):
1 Hf 0.000 0.000 0.000 [4 per cell]
2 Al 0.000 0.000 0.500 [4 per cell]
3 Re 0.250 0.250 0.750 [4 per cell]
4 Pd 0.250 0.250 0.250 [4 per cell]



The following is a DFT calculation (GGA-PBE) of a relaxed structure of Pm2TmPd4.

Summary:
magnetization: 0.00 μB per cell
N(E_F): 8.43 states/eV/cell
formation energy from the elements: -0.58 eV/atom

Cell: 8.878 5.684 7.918 Å, 90.00 120.12 90.00°
Space group C2/m (No. 12)
Symmetry-distinct sites (fractional):
1 Pm 0.214 0.000 0.323 [4 per cell]
2 Tm 0.000 0.500 0.000 [2 per cell]
3 Pd 0.156 0.000 0.659 [4 per cell]
4 Pd 0.250 0.250 0.000 [4 per cell]